Mn4Zn3H10C2O16 | GGA+U | optimized geometry

Cell: 8.205 8.205 16.637 Å, 95.41 95.41 40.16°
Fractional coordinates of all 70 atoms:
Mn  0.034  0.531  0.410
Mn  0.047  0.563  0.816
Mn  0.437  0.953  0.684
Mn  0.469  0.966  0.090
Mn  0.531  0.034  0.910
Mn  0.563  0.047  0.316
Mn  0.953  0.437  0.184
Mn  0.966  0.469  0.590
Zn  0.103  0.623  0.040
Zn  0.215  0.785  0.750
Zn  0.377  0.897  0.460
Zn  0.623  0.103  0.540
Zn  0.785  0.215  0.250
Zn  0.897  0.377  0.960
H  0.028  0.779  0.280
H  0.076  0.083  0.069
H  0.083  0.076  0.569
H  0.130  0.196  0.834
H  0.196  0.130  0.334
H  0.221  0.972  0.220
H  0.222  0.534  0.555
H  0.301  0.371  0.685
H  0.371  0.301  0.185
H  0.466  0.778  0.945
H  0.534  0.222  0.055
H  0.629  0.699  0.815
H  0.699  0.629  0.315
H  0.778  0.466  0.445
H  0.779  0.028  0.780
H  0.804  0.870  0.666
H  0.870  0.804  0.166
H  0.917  0.924  0.431
H  0.924  0.917  0.931
H  0.972  0.221  0.720
C  0.394  0.561  0.372
C  0.439  0.606  0.128
C  0.561  0.394  0.872
C  0.606  0.439  0.628
O  0.066  0.210  0.065
O  0.076  0.134  0.247
O  0.130  0.282  0.882
O  0.134  0.076  0.747
O  0.203  0.352  0.700
O  0.210  0.066  0.565
O  0.241  0.743  0.080
O  0.245  0.408  0.526
O  0.257  0.759  0.420
O  0.282  0.130  0.382
O  0.319  0.470  0.348
O  0.352  0.203  0.200
O  0.398  0.540  0.654
O  0.408  0.245  0.026
O  0.460  0.602  0.846
O  0.470  0.319  0.848
O  0.530  0.681  0.152
O  0.540  0.398  0.154
O  0.592  0.755  0.974
O  0.602  0.460  0.346
O  0.648  0.797  0.800
O  0.681  0.530  0.652
O  0.718  0.870  0.618
O  0.743  0.241  0.580
O  0.755  0.592  0.474
O  0.759  0.257  0.920
O  0.790  0.934  0.435
O  0.797  0.648  0.300
O  0.866  0.924  0.253
O  0.870  0.718  0.118
O  0.924  0.866  0.753
O  0.934  0.790  0.935

Summary:
Its space group is C2/c. The calculation puts the total energy at -6.062 eV/atom. The value obtained for the density of states at the Fermi level is 0.00 states/eV/cell. As for the crystal system: monoclinic.